The following is a DFT calculation (PBE-GGA) of a relaxed Zn4Mo3 crystal.

Properties
The calculation puts the size of the total moment at 0.00 μB per formula unit. The electronic total energy is -5.149 eV per atom. The energy of formation is 149.5 kJ/mol of formula units.

Lattice parameters (Å, degrees): 11.4406 11.4406 11.4406 164.44 164.44 22.07
With the nearest neighbours (Å) after each atom.
Fractional coordinates of all 7 atoms:
Mo1 0.7206 0.7206 0.0000  4 Mo 2.56, 4 Zn 2.78
Mo2 0.0000 0.0000 0.0000  8 Zn 2.80, 4 Mo 3.10
Zn1 0.4222 0.4222 0.0000  4 Zn 2.65, 4 Mo 2.80
Mo3 0.2794 0.2794 0.0000  4 Mo 2.56, 4 Zn 2.78
Zn2 0.8560 0.8560 0.0000  4 Zn 2.65, 4 Mo 2.78
Zn3 0.1440 0.1440 0.0000  4 Zn 2.65, 4 Mo 2.78
Zn4 0.5778 0.5778 0.0000  4 Zn 2.65, 4 Mo 2.80